No. 1
This record from Alexandria via LeMat-Bulk describes a relaxed Al2PdC crystal. The functional is PBE-GGA.

Unit cell a=5.6719 b=5.6719 c=5.6719 alpha=121.70 beta=121.70 gamma=87.08
Last column: nearest neighbours and their distance in Å.
Atoms (fractional coordinates):
Al: 0.0380 0.6250 0.9130  2 C 1.94
Al: 0.3750 0.2880 0.4130  2 C 1.94
Al: 0.7120 0.1250 0.0870  2 C 1.94
Al: 0.8750 0.9620 0.5870  2 C 1.94
Pd: 0.2500 0.7500 0.5000  4 Al 2.54
Pd: 0.5000 0.5000 0.0000  4 Al 2.54
C: 0.0000 0.0000 0.0000  4 Al 1.94
C: 0.7500 0.2500 0.5000  4 Al 1.94

Properties
symmetry	I-42d
DFT total energy	-43.43	eV for the cell shown

***

No. 2
This record from Alexandria via LeMat-Bulk describes a relaxed Al3PdC crystal. The functional is PBE-GGA.

Unit cell a=4.6937 b=4.6937 c=4.6937 alpha=90.00 beta=90.00 gamma=90.00
Last column: nearest neighbours and their distance in Å.
Atoms (fractional coordinates):
Al: 0.0000 0.0000 0.5000  2 Pd 2.35
Al: 0.0000 0.5000 0.0000  2 Pd 2.35
Al: 0.5000 0.0000 0.0000  2 Pd 2.35
Pd: 0.0000 0.0000 0.0000  6 Al 2.35
C: 0.5000 0.5000 0.5000  12 Al 3.32

Properties
symmetry	Pm-3m
energy above the lowest structure with this stoichiometry	1156	meV per atom
DFT total energy	-20.03	eV for the cell shown

***

No. 3
This record from Alexandria via LeMat-Bulk describes a relaxed AlPdC3 crystal. The functional is PBE-GGA.

Unit cell a=4.0392 b=4.0392 c=4.0392 alpha=90.00 beta=90.00 gamma=90.00
Last column: nearest neighbours and their distance in Å.
Atoms (fractional coordinates):
Al: 0.0000 0.0000 0.0000  12 C 2.86
Pd: 0.5000 0.5000 0.5000  6 C 2.02
C: 0.0000 0.5000 0.5000  2 Pd 2.02
C: 0.5000 0.0000 0.5000  2 Pd 2.02
C: 0.5000 0.5000 0.0000  2 Pd 2.02

Properties
symmetry	Pm-3m
energy above the lowest structure with this stoichiometry	284	meV per atom
DFT total energy	-23.80	eV for the cell shown

***

No. 4
This record from Alexandria via LeMat-Bulk describes a relaxed AlPdC3 crystal. The functional is PBE-GGA.

Unit cell a=3.9010 b=3.9010 c=3.9010 alpha=90.00 beta=90.00 gamma=90.00
Last column: nearest neighbours and their distance in Å.
Atoms (fractional coordinates):
Al: 0.0000 0.0000 0.0000  6 C 1.95
Pd: 0.5000 0.5000 0.5000  12 C 2.76
C: 0.0000 0.0000 0.5000  2 Al 1.95
C: 0.0000 0.5000 0.0000  2 Al 1.95
C: 0.5000 0.0000 0.0000  2 Al 1.95

Properties
symmetry	Pm-3m
energy above the lowest structure with this stoichiometry	0	meV per atom
DFT total energy	-25.22	eV for the cell shown

***

Calculated energy of formation from the pure elements, 0.047, 1.122, 2.561, 2.277 eV/atom (same order as the records).
Calculated M_tot, 0.0, 2.1, 0.0, 0.0 μB/cell (same order as the records).